Entry 1:
Entry from Alexandria: ZrTiPS2 after structural relaxation (PBE).

space-group type = P4/mmm, No. 123
relative energy among the computed polymorphs = 0 meV/atom
uncorrected formation energy = -0.407 eV/atom

Structure (CIF):
```
data_ZrTiPS2
_chemical_formula_sum 'Zr1 Ti1 P1 S2'
_cell_length_a 4.5427
_cell_length_b 4.5427
_cell_length_c 4.7886
_cell_angle_alpha 90.00
_cell_angle_beta 90.00
_cell_angle_gamma 90.00
_space_group_name_H-M_alt 'P 1'
_space_group_IT_number 1
loop_
_space_group_symop_operation_xyz
'x,y,z'
loop_
_atom_site_label
_atom_site_type_symbol
_atom_site_fract_x
_atom_site_fract_y
_atom_site_fract_z
P1 P 0.0000 0.0000 0.5000
Zr1 Zr 0.5000 0.5000 0.5000
S1 S 0.0000 0.5000 0.0000
S2 S 0.5000 0.0000 0.0000
Ti1 Ti 0.0000 0.0000 0.0000
```



Entry 2:
Entry from Alexandria: NaZnGaHg after structural relaxation (PBE).

space-group type = F-43m, No. 216
E_tot = -1.502 eV per atom

Structure (CIF):
```
data_NaZnGaHg
_chemical_formula_sum 'Na1 Zn1 Ga1 Hg1'
_cell_length_a 4.9154
_cell_length_b 4.9154
_cell_length_c 4.9154
_cell_angle_alpha 60.00
_cell_angle_beta 60.00
_cell_angle_gamma 60.00
_space_group_name_H-M_alt 'P 1'
_space_group_IT_number 1
loop_
_space_group_symop_operation_xyz
'x,y,z'
loop_
_atom_site_label
_atom_site_type_symbol
_atom_site_fract_x
_atom_site_fract_y
_atom_site_fract_z
Ga1 Ga 0.2500 0.2500 0.2500
Zn1 Zn 0.5000 0.5000 0.5000
Na1 Na 0.7500 0.7500 0.7500
Hg1 Hg 0.0000 0.0000 0.0000
```



Entry 3:
Entry from Alexandria: YBr2 after structural relaxation (PBE).

space-group type = Cm, No. 8
uncorrected formation energy = -1.599 eV/atom

Structure (CIF):
```
data_YBr2
_chemical_formula_sum 'Y2 Br4'
_cell_length_a 7.3396
_cell_length_b 7.3396
_cell_length_c 7.8390
_cell_angle_alpha 58.45
_cell_angle_beta 58.45
_cell_angle_gamma 30.20
_space_group_name_H-M_alt 'P 1'
_space_group_IT_number 1
loop_
_space_group_symop_operation_xyz
'x,y,z'
loop_
_atom_site_label
_atom_site_type_symbol
_atom_site_fract_x
_atom_site_fract_y
_atom_site_fract_z
Br1 Br 0.3590 0.3590 0.3100
Br2 Br 0.9565 0.9565 0.8365
Br3 Br 0.6195 0.6195 0.3391
Br4 Br 0.6961 0.6961 0.8367
Y1 Y 0.2790 0.2790 0.0034
Y2 Y 0.9231 0.9231 0.5076
```



no.,DOS(E_F) (states/eV/f.u.)
1,3.09
2,1.11
3,1.33